The following is a PBE-GGA calculation of a relaxed Ce2TeH crystal, from the Alexandria database.

abc: 6.191 6.121 10.312
angles: 93.64 90.00 90.00
Positions (direct):
Ce 0.772 0.517 0.185
Ce 0.759 0.004 0.929
Ce 0.241 0.504 0.429
Ce 0.228 0.483 0.815
Ce 0.241 0.996 0.071
Ce 0.228 0.017 0.685
Ce 0.772 0.983 0.315
Ce 0.759 0.496 0.571
H 0.887 0.353 0.371
H 0.887 0.147 0.129
H 0.113 0.853 0.871
H 0.113 0.647 0.629
Te 0.728 0.501 0.877
Te 0.272 0.499 0.123
Te 0.272 0.001 0.377
Te 0.728 0.999 0.623

Summary:
total moment	8.7	μB per cell
distance to the lowest polymorph of the same formula	0	meV per atom
calculated total energy	-84.49	eV for the cell shown